First-principles (PBE) data for a geometry-optimized PmSc2Ti structure, as listed in the Alexandria database.

**Theoretical density**: 4.661 g/cm3
**ΔE to the lowest computed polymorph**: 0 meV per atom
**Total DFT energy (no corrections)**: -6.181 eV per atom
**Volume**: 25.18 Å³/atom
**Energy relative to the elements**: 0.15 eV per atom

abc: 3.5649 3.5649 7.9266
angles: 90.00 90.00 90.00
Fractional coordinates of all 4 atoms:
Pm (0.0000, 0.0000, 0.0000)
Sc (0.5000, 0.5000, 0.2970)
Sc (0.5000, 0.5000, 0.7030)
Ti (0.0000, 0.0000, 0.5000)

***

First-principles (PBE) data for a geometry-optimized PmSc2Ti structure, as listed in the Alexandria database.

**Theoretical density**: 4.776 g/cm3
**ΔE to the lowest computed polymorph**: 92 meV per atom
**Total DFT energy (no corrections)**: -6.089 eV per atom
**Volume**: 24.58 Å³/atom
**Energy relative to the elements**: 0.24 eV per atom

abc: 7.3264 7.3264 7.3264
angles: 90.00 90.00 90.00
Fractional coordinates of all 16 atoms:
Pm (0.0000, 0.0000, 0.0000)
Pm (0.0000, 0.5000, 0.5000)
Pm (0.5000, 0.0000, 0.5000)
Pm (0.5000, 0.5000, 0.0000)
Sc (0.2500, 0.2500, 0.2500)
Sc (0.2500, 0.2500, 0.7500)
Sc (0.2500, 0.7500, 0.2500)
Sc (0.2500, 0.7500, 0.7500)
Sc (0.7500, 0.2500, 0.2500)
Sc (0.7500, 0.2500, 0.7500)
Sc (0.7500, 0.7500, 0.2500)
Sc (0.7500, 0.7500, 0.7500)
Ti (0.0000, 0.0000, 0.5000)
Ti (0.0000, 0.5000, 0.0000)
Ti (0.5000, 0.0000, 0.0000)
Ti (0.5000, 0.5000, 0.5000)

***

First-principles (PBE) data for a geometry-optimized PmScTi structure, as listed in the Alexandria database.

**Theoretical density**: 5.429 g/cm3
**Total DFT energy (no corrections)**: -6.087 eV per atom
**Volume**: 24.25 Å³/atom
**Energy relative to the elements**: 0.24 eV per atom

abc: 5.1150 5.1150 3.2102
angles: 90.00 90.00 120.00
Fractional coordinates of all 3 atoms:
Pm (0.0000, 0.0000, 0.0000)
Sc (0.3333, 0.6667, 0.5000)
Ti (0.6667, 0.3333, 0.0000)

***

First-principles (PBE) data for a geometry-optimized PmSc2Ti structure, as listed in the Alexandria database.

**Theoretical density**: 4.785 g/cm3
**ΔE to the lowest computed polymorph**: 16 meV per atom
**Total DFT energy (no corrections)**: -6.165 eV per atom
**Volume**: 24.53 Å³/atom
**Energy relative to the elements**: 0.16 eV per atom

abc: 3.2722 3.2722 31.7459
angles: 90.00 90.00 120.00
Fractional coordinates of all 12 atoms:
Pm (0.0000, 0.0000, 0.0000)
Pm (0.3333, 0.6667, 0.6667)
Pm (0.6667, 0.3333, 0.3333)
Sc (0.0000, 0.0000, 0.5730)
Sc (0.0000, 0.0000, 0.7584)
Sc (0.3333, 0.6667, 0.2397)
Sc (0.3333, 0.6667, 0.4251)
Sc (0.6667, 0.3333, 0.0917)
Sc (0.6667, 0.3333, 0.9064)
Ti (0.0000, 0.0000, 0.1653)
Ti (0.3333, 0.6667, 0.8320)
Ti (0.6667, 0.3333, 0.4987)

***

First-principles (PBE) data for a geometry-optimized PmTmScTi structure, as listed in the Alexandria database.

**Theoretical density**: 6.461 g/cm3
**Total DFT energy (no corrections)**: -5.638 eV per atom
**Volume**: 26.13 Å³/atom
**Energy relative to the elements**: 0.22 eV per atom

abc: 7.4778 7.4778 7.4778
angles: 90.00 90.00 90.00
Fractional coordinates of all 16 atoms:
Pm (0.0000, 0.0000, 0.0000)
Pm (0.0000, 0.5000, 0.5000)
Pm (0.5000, 0.0000, 0.5000)
Pm (0.5000, 0.5000, 0.0000)
Tm (0.0000, 0.0000, 0.5000)
Tm (0.0000, 0.5000, 0.0000)
Tm (0.5000, 0.0000, 0.0000)
Tm (0.5000, 0.5000, 0.5000)
Sc (0.2500, 0.2500, 0.7500)
Sc (0.2500, 0.7500, 0.2500)
Sc (0.7500, 0.2500, 0.2500)
Sc (0.7500, 0.7500, 0.7500)
Ti (0.2500, 0.2500, 0.2500)
Ti (0.2500, 0.7500, 0.7500)
Ti (0.7500, 0.2500, 0.7500)
Ti (0.7500, 0.7500, 0.2500)

***

First-principles (PBE) data for a geometry-optimized Pm5ScTl4 structure, as listed in the Alexandria database.

**Theoretical density**: 8.947 g/cm3
**Total DFT energy (no corrections)**: -4.241 eV per atom
**Volume**: 29.46 Å³/atom
**Energy relative to the elements**: -0.29 eV per atom

abc: 3.7285 3.7285 21.1940
angles: 90.00 90.00 90.00
Fractional coordinates of all 10 atoms:
Pm (0.0000, 0.0000, 0.0000)
Pm (0.0000, 0.0000, 0.1999)
Pm (0.0000, 0.0000, 0.3975)
Pm (0.0000, 0.0000, 0.6025)
Pm (0.0000, 0.0000, 0.8001)
Sc (0.5000, 0.5000, 0.5000)
Tl (0.5000, 0.5000, 0.1002)
Tl (0.5000, 0.5000, 0.2995)
Tl (0.5000, 0.5000, 0.7005)
Tl (0.5000, 0.5000, 0.8998)

***

First-principles (PBE) data for a geometry-optimized PmSc5Tl2 structure, as listed in the Alexandria database.

**Theoretical density**: 6.277 g/cm3
**Total DFT energy (no corrections)**: -5.285 eV per atom
**Volume**: 25.74 Å³/atom
**Energy relative to the elements**: -0.14 eV per atom

abc: 3.5391 9.6230 12.0944
angles: 90.00 90.00 90.00
Fractional coordinates of all 16 atoms:
Pm (0.0000, 0.0000, 0.0000)
Pm (0.5000, 0.5000, 0.5000)
Sc (0.0000, 0.2210, 0.3686)
Sc (0.0000, 0.2210, 0.6314)
Sc (0.0000, 0.5000, 0.0000)
Sc (0.0000, 0.7790, 0.3686)
Sc (0.0000, 0.7790, 0.6314)
Sc (0.5000, 0.0000, 0.5000)
Sc (0.5000, 0.2790, 0.1314)
Sc (0.5000, 0.2790, 0.8686)
Sc (0.5000, 0.7210, 0.1314)
Sc (0.5000, 0.7210, 0.8686)
Tl (0.0000, 0.5000, 0.2568)
Tl (0.0000, 0.5000, 0.7432)
Tl (0.5000, 0.0000, 0.2432)
Tl (0.5000, 0.0000, 0.7568)

***

First-principles (PBE) data for a geometry-optimized Pm2Sc3Tl2 structure, as listed in the Alexandria database.

**Theoretical density**: 7.075 g/cm3
**Total DFT energy (no corrections)**: -4.914 eV per atom
**Volume**: 27.95 Å³/atom
**Energy relative to the elements**: -0.17 eV per atom

abc: 11.7206 4.5805 7.7338
angles: 90.00 109.53 90.00
Fractional coordinates of all 14 atoms:
Pm (0.1368, 0.0000, 0.2792)
Pm (0.3632, 0.5000, 0.7208)
Pm (0.6368, 0.5000, 0.2792)
Pm (0.8632, 0.0000, 0.7208)
Sc (0.0000, 0.5000, 0.5000)
Sc (0.1226, 0.5000, 0.9411)
Sc (0.3774, 0.0000, 0.0589)
Sc (0.5000, 0.0000, 0.5000)
Sc (0.6226, 0.0000, 0.9411)
Sc (0.8774, 0.5000, 0.0589)
Tl (0.1581, 0.0000, 0.7185)
Tl (0.3419, 0.5000, 0.2815)
Tl (0.6581, 0.5000, 0.7185)
Tl (0.8419, 0.0000, 0.2815)